Record 1
This record from Alexandria describes a geometry-optimized TlSnIO2 structure. The functional is PBE.

a = 4.462 Å, b = 4.462 Å, c = 5.949 Å
α = 90.00°, β = 90.00°, γ = 90.00°
Positions (direct):
I1 0.000 0.000 0.500
Tl1 0.000 0.000 0.000
Sn1 0.500 0.500 0.500
O1 0.000 0.500 0.000
O2 0.500 0.000 0.000

Symmetry ... P4/mmm (123)
M_tot ... 0.1 μB/cell
Energy above the lowest structure with this stoichiometry ... 291 kJ/mol of formula units


Record 2
This record from Alexandria describes a geometry-optimized K6SBr4 structure. The functional is PBE.

a = 9.488 Å, b = 9.488 Å, c = 9.488 Å
α = 89.45°, β = 89.45°, γ = 90.55°
Site moments in Bohr magnetons follow the coordinates.
Positions (direct):
K1 0.700 0.051 0.070  0.00
K2 0.070 0.300 0.051  0.00
K3 0.570 0.449 0.200  0.00
K4 0.949 0.070 0.700  0.00
K5 0.551 0.200 0.570  0.00
K6 0.200 0.430 0.449  0.00
K7 0.800 0.570 0.551  0.00
K8 0.449 0.800 0.430  0.00
K9 0.051 0.930 0.300  0.00
K10 0.430 0.551 0.800  0.00
K11 0.930 0.700 0.949  0.00
K12 0.300 0.949 0.930  0.00
S1 0.500 0.500 0.500  0.07
S2 0.000 0.000 0.000  0.07
Br1 0.395 0.105 0.250  0.00
Br2 0.895 0.250 0.395  0.00
Br3 0.250 0.605 0.105  0.00
Br4 0.250 0.250 0.750  0.01
Br5 0.750 0.750 0.250  0.01
Br6 0.750 0.395 0.895  0.00
Br7 0.105 0.750 0.605  0.00
Br8 0.605 0.895 0.750  0.00

DFT total energy ... -67.666 eV for the cell shown
Symmetry ... R-3c (167)
M_tot ... 0.3 μB/cell


Record 3
This record from Alexandria describes a geometry-optimized Mn2FeTc structure. The functional is PBE.

a = 4.100 Å, b = 4.100 Å, c = 4.100 Å
α = 60.00°, β = 60.00°, γ = 60.00°
Site moments in Bohr magnetons follow the coordinates.
Positions (direct):
Fe1 0.500 0.500 0.500  1.75
Mn1 0.000 0.000 0.000  0.58
Mn2 0.250 0.250 0.250  2.38
Tc1 0.750 0.750 0.750  -0.07

Energy relative to the elements ... 0.126 eV per atom
Symmetry ... F-43m (216)
M_tot ... 4.7 μB/cell